! BeAl2B | the Alexandria database | PBE | relaxed; values from VASP
&SYSTEM
  ibrav = 0, nat = 16, ntyp = 3
/
ATOMIC_SPECIES
Be 9.01 Be.upf
B 10.81 B.upf
Al 26.98 Al.upf
CELL_PARAMETERS angstrom
19.126 0.009 -0.109
-0.004 3.568 0.002
0.307 1.782 3.070
ATOMIC_POSITIONS angstrom
Be 1.229 3.228 0.464
Be 0.499 1.443 1.581
Be 0.637 3.226 2.595
Be 18.431 3.234 0.566
B 4.186 1.449 1.086
B 7.395 5.019 2.816
B 15.080 1.460 2.015
B 11.878 1.458 0.270
Al 12.782 1.457 2.247
Al 8.337 3.237 1.685
Al 6.482 1.452 0.842
Al 16.124 3.246 0.875
Al 10.928 3.240 1.402
Al 3.087 3.231 2.261
Al 14.255 1.461 0.031
Al 4.674 3.234 0.007
! ΔH_f (0 K): 0.13 eV per atom
! space group: P1
! electronic total energy: -17.36 eV/f.u.

! BeAlB2 | the Alexandria database | PBE | relaxed; values from VASP
&SYSTEM
  ibrav = 0, nat = 8, ntyp = 3
/
ATOMIC_SPECIES
Be 9.01 Be.upf
B 10.81 B.upf
Al 26.98 Al.upf
CELL_PARAMETERS angstrom
2.984 0.000 0.000
0.000 5.225 0.000
0.000 0.000 5.150
ATOMIC_POSITIONS angstrom
Be 0.000 1.651 0.000
Be 1.492 3.574 2.575
B 0.000 2.535 1.723
B 1.492 2.690 0.852
B 1.492 2.690 4.298
B 0.000 2.535 3.428
Al 0.000 0.424 2.575
Al 1.492 4.801 0.000
! ΔH_f (0 K): 0.01 eV per atom
! space group: Pmmn
! electronic total energy: -20.79 eV/f.u.

! BeAl2B | the Alexandria database | PBE | relaxed; values from VASP
&SYSTEM
  ibrav = 0, nat = 16, ntyp = 3
/
ATOMIC_SPECIES
Be 9.01 Be.upf
B 10.81 B.upf
Al 26.98 Al.upf
CELL_PARAMETERS angstrom
-3.880 7.339 -5.731
-2.665 0.270 2.155
2.909 3.830 3.120
ATOMIC_POSITIONS angstrom
Be -5.134 8.356 -2.612
Be -1.093 0.843 0.601
Be -2.889 10.049 -2.788
Be -3.451 10.821 -0.836
B -1.837 2.289 -0.500
B -1.954 4.804 1.784
B -4.441 6.851 -1.566
B -1.249 7.813 -0.476
Al -3.460 8.449 -0.550
Al -0.559 3.298 0.956
Al -0.399 6.068 0.805
Al -4.006 6.300 -3.701
Al -2.258 6.189 -1.527
Al -3.191 3.814 0.380
Al -4.671 4.680 -1.575
Al -0.620 4.929 3.419
! ΔH_f (0 K): 0.18 eV per atom
! space group: P1
! electronic total energy: -17.15 eV/f.u.

! BeAlB2 | the Alexandria database | PBE | relaxed; values from VASP
&SYSTEM
  ibrav = 0, nat = 8, ntyp = 3
/
ATOMIC_SPECIES
Be 9.01 Be.upf
B 10.81 B.upf
Al 26.98 Al.upf
CELL_PARAMETERS angstrom
2.966 0.000 0.000
0.000 5.165 0.000
0.000 0.000 5.225
ATOMIC_POSITIONS angstrom
Be 1.483 2.583 1.509
Be 0.000 0.000 3.635
B 1.483 0.843 2.454
B 1.483 4.322 2.454
B 0.000 3.446 2.570
B 0.000 1.719 2.570
Al 0.000 0.000 0.819
Al 0.000 2.583 4.674
! ΔH_f (0 K): 0.02 eV per atom
! space group: Pmm2
! electronic total energy: -20.74 eV/f.u.

! BeAl2B | the Alexandria database | PBE | relaxed; values from VASP
&SYSTEM
  ibrav = 0, nat = 16, ntyp = 3
/
ATOMIC_SPECIES
Be 9.01 Be.upf
B 10.81 B.upf
Al 26.98 Al.upf
CELL_PARAMETERS angstrom
-2.415 3.823 2.558
-3.110 -1.160 -1.202
0.223 -8.390 7.518
ATOMIC_POSITIONS angstrom
Be -2.018 -7.614 7.381
Be -1.704 -1.140 0.325
Be -1.100 -5.928 8.564
Be 0.154 -7.898 7.220
B -3.890 1.041 3.875
B -1.167 -1.721 4.679
B -1.546 -4.014 7.870
B -1.798 -5.217 4.499
Al -2.500 -5.532 6.619
Al -2.997 0.642 1.950
Al -2.139 -3.163 3.400
Al -3.689 -3.466 7.701
Al -0.897 -3.570 5.764
Al -1.828 0.336 4.404
Al -2.059 -1.290 6.569
Al -0.578 -1.038 2.495
! ΔH_f (0 K): 0.14 eV per atom
! space group: Pm
! electronic total energy: -17.35 eV/f.u.

! BeAlB | the Alexandria database | PBE | relaxed; values from VASP
&SYSTEM
  ibrav = 0, nat = 6, ntyp = 3
/
ATOMIC_SPECIES
Be 9.01 Be.upf
B 10.81 B.upf
Al 26.98 Al.upf
CELL_PARAMETERS angstrom
4.833 -0.188 -0.226
-0.981 3.093 -0.135
1.278 -1.163 3.870
ATOMIC_POSITIONS angstrom
Be 3.668 2.571 0.240
Be 3.753 0.959 1.772
B 2.108 2.116 1.414
B 0.482 1.601 0.825
Al 1.271 0.203 2.515
Al 3.579 -0.743 3.728
! ΔH_f (0 K): 0.06 eV per atom
! space group: P-1
! electronic total energy: -13.97 eV/f.u.

! BeAl2B | the Alexandria database | PBE | relaxed; values from VASP
&SYSTEM
  ibrav = 0, nat = 16, ntyp = 3
/
ATOMIC_SPECIES
Be 9.01 Be.upf
B 10.81 B.upf
Al 26.98 Al.upf
CELL_PARAMETERS angstrom
8.270 -0.053 0.004
1.472 5.491 0.009
1.570 -3.363 4.452
ATOMIC_POSITIONS angstrom
Be 1.211 2.406 0.011
Be 2.046 4.374 1.245
Be 8.615 4.371 0.062
Be 8.250 0.796 0.885
B 4.034 -1.737 3.213
B 4.418 1.071 1.478
B 7.854 2.720 0.902
B 6.447 0.557 4.139
Al 9.480 2.494 2.667
Al 2.557 0.347 0.598
Al 4.319 0.431 3.450
Al 6.331 1.801 2.302
Al 8.376 -0.201 3.321
Al 6.137 -1.581 3.952
Al 6.351 4.464 1.229
Al 3.975 3.144 1.822
! ΔH_f (0 K): 0.19 eV per atom
! space group: P1
! electronic total energy: -17.15 eV/f.u.

! BeAl2B | the Alexandria database | PBE | relaxed; values from VASP
&SYSTEM
  ibrav = 0, nat = 16, ntyp = 3
/
ATOMIC_SPECIES
Be 9.01 Be.upf
B 10.81 B.upf
Al 26.98 Al.upf
CELL_PARAMETERS angstrom
3.435 0.017 -0.011
1.704 6.147 -0.027
0.016 2.874 9.475
ATOMIC_POSITIONS angstrom
Be 0.858 1.949 0.331
Be 4.288 4.304 0.947
Be 2.580 6.877 9.226
Be 2.572 2.861 1.527
B 2.575 4.286 4.538
B 0.869 3.749 7.896
B 4.292 7.009 5.641
B 0.857 1.829 2.473
Al 2.577 7.656 6.838
Al 4.300 8.765 8.728
Al 4.289 4.196 3.227
Al 4.283 6.583 1.859
Al 2.572 6.380 4.405
Al 2.580 2.260 4.059
Al 0.862 4.683 5.843
Al 2.583 5.069 7.935
! ΔH_f (0 K): 0.20 eV per atom
! space group: P1
! electronic total energy: -17.08 eV/f.u.

! BeAl2B | the Alexandria database | PBE | relaxed; values from VASP
&SYSTEM
  ibrav = 0, nat = 16, ntyp = 3
/
ATOMIC_SPECIES
Be 9.01 Be.upf
B 10.81 B.upf
Al 26.98 Al.upf
CELL_PARAMETERS angstrom
-0.790 -1.368 4.973
-0.579 -3.240 -0.983
10.481 -2.605 2.408
ATOMIC_POSITIONS angstrom
Be -0.142 -1.349 1.529
Be 9.255 -5.864 4.868
Be 8.890 -4.587 6.877
Be 0.223 -2.626 -0.479
B 7.717 -2.986 2.292
B 1.396 -4.227 4.105
B 4.111 -2.293 2.133
B 5.002 -4.920 4.264
Al 2.135 -1.604 1.026
Al 6.978 -5.609 5.371
Al 5.847 -3.029 3.534
Al 3.266 -4.184 2.863
Al 5.265 -3.677 6.013
Al 3.847 -3.536 0.384
Al 0.933 -2.131 3.471
Al 8.180 -5.082 2.926
! ΔH_f (0 K): 0.12 eV per atom
! space group: P2_1/m
! electronic total energy: -17.43 eV/f.u.

! BeAlB | the Alexandria database | PBE | relaxed; values from VASP
&SYSTEM
  ibrav = 0, nat = 3, ntyp = 3
/
ATOMIC_SPECIES
Be 9.01 Be.upf
B 10.81 B.upf
Al 26.98 Al.upf
CELL_PARAMETERS angstrom
-1.030 -0.912 2.315
2.450 -0.810 0.771
0.161 5.671 0.739
ATOMIC_POSITIONS angstrom
Be 1.465 3.305 3.520
B 1.169 1.672 2.745
Al 0.268 1.479 0.702
! ΔH_f (0 K): 0.85 eV per atom
! space group: I4mm
! electronic total energy: -11.58 eV/f.u.

! BeAlB | the Alexandria database | PBE | relaxed; values from VASP
&SYSTEM
  ibrav = 0, nat = 6, ntyp = 3
/
ATOMIC_SPECIES
Be 9.01 Be.upf
B 10.81 B.upf
Al 26.98 Al.upf
CELL_PARAMETERS angstrom
-5.204 -2.864 -1.161
-2.717 -5.351 -0.783
-4.176 -3.859 2.074
ATOMIC_POSITIONS angstrom
Be -10.507 -10.486 0.113
Be -1.590 -1.587 0.017
B -2.986 -2.980 0.032
B -9.110 -9.093 0.098
Al -7.472 -7.458 0.080
Al -4.624 -4.615 0.050
! ΔH_f (0 K): -0.02 eV per atom
! space group: R-3m
! electronic total energy: -14.20 eV/f.u.

Theoretical density per entry: 2.34; 2.38; 2.47; 2.39; 2.44; 2.72; 2.42; 2.45; 2.49; 1.99; 2.52 g/cm³